[1]
This record from the Alexandria database describes a geometry-optimized Er2BeHg structure. The functional is PBE.

Cell and atoms, written as CIF:
```
data_Er2BeHg
_space_group_name_H-M_alt 'P 1'
_space_group_IT_number 1
_space_group_name_Hall 'P 1'
_cell_length_a 3.469
_cell_length_b 3.469
_cell_length_c 7.326
_cell_angle_alpha 90.00
_cell_angle_beta 90.00
_cell_angle_gamma 90.00
loop_
_atom_site_label
_atom_site_type_symbol
_atom_site_fract_x
_atom_site_fract_y
_atom_site_fract_z
Hg1 Hg 0.500 0.500 0.500
Er1 Er 0.000 0.000 0.779
Er2 Er 0.000 0.000 0.221
Be1 Be 0.500 0.500 0.000
```

Computed properties:
Excess energy over the best structure of this formula in the dataset   0 meV per atom
Theoretical density   10.25 g/cm3
Energy of formation from the pure elements   -0.21 eV/atom
N(E_F)   2.42 states/eV per cell

[2]
This record from the Alexandria database describes a geometry-optimized Er2BeHg structure. The functional is PBE.

Cell and atoms, written as CIF:
```
data_Er2BeHg
_space_group_name_H-M_alt 'P 1'
_space_group_IT_number 1
_space_group_name_Hall 'P 1'
_cell_length_a 5.046
_cell_length_b 5.046
_cell_length_c 5.046
_cell_angle_alpha 60.00
_cell_angle_beta 60.00
_cell_angle_gamma 60.00
loop_
_atom_site_label
_atom_site_type_symbol
_atom_site_fract_x
_atom_site_fract_y
_atom_site_fract_z
Er1 Er 0.250 0.250 0.250
Er2 Er 0.750 0.750 0.750
Be1 Be 0.500 0.500 0.500
Hg1 Hg 0.000 0.000 0.000
```

Computed properties:
Excess energy over the best structure of this formula in the dataset   73 meV per atom
Theoretical density   9.94 g/cm3
Energy of formation from the pure elements   -0.13 eV/atom
N(E_F)   3.45 states/eV per cell

[3]
This record from the Alexandria database describes a geometry-optimized ErLuBeHg structure. The functional is PBE.

Cell and atoms, written as CIF:
```
data_ErLuBeHg
_space_group_name_H-M_alt 'P 1'
_space_group_IT_number 1
_space_group_name_Hall 'P 1'
_cell_length_a 5.013
_cell_length_b 5.013
_cell_length_c 5.013
_cell_angle_alpha 60.00
_cell_angle_beta 60.00
_cell_angle_gamma 60.00
loop_
_atom_site_label
_atom_site_type_symbol
_atom_site_fract_x
_atom_site_fract_y
_atom_site_fract_z
Be1 Be 0.000 0.000 0.000
Lu1 Lu 0.750 0.750 0.750
Hg1 Hg 0.500 0.500 0.500
Er1 Er 0.250 0.250 0.250
```

Computed properties:
Theoretical density   10.28 g/cm3
Energy of formation from the pure elements   -0.14 eV/atom
N(E_F)   3.02 states/eV per cell

[4]
This record from the Alexandria database describes a geometry-optimized ErMgBeHg structure. The functional is PBE.

Cell and atoms, written as CIF:
```
data_ErMgBeHg
_space_group_name_H-M_alt 'P 1'
_space_group_IT_number 1
_space_group_name_Hall 'P 1'
_cell_length_a 4.839
_cell_length_b 4.839
_cell_length_c 4.839
_cell_angle_alpha 60.00
_cell_angle_beta 60.00
_cell_angle_gamma 60.00
loop_
_atom_site_label
_atom_site_type_symbol
_atom_site_fract_x
_atom_site_fract_y
_atom_site_fract_z
Hg1 Hg 0.000 0.000 0.000
Er1 Er 0.750 0.750 0.750
Be1 Be 0.500 0.500 0.500
Mg1 Mg 0.250 0.250 0.250
```

Computed properties:
Theoretical density   8.32 g/cm3
Energy of formation from the pure elements   -0.10 eV/atom
N(E_F)   2.12 states/eV per cell